# 1
VASP calculation (PBE) on an optimized crystal structure of PmSeI2.

CIF file:
```
data_PmSeI2
_space_group_name_H-M_alt 'C 1 m 1'
_space_group_IT_number 8
_cell_length_a 8.390
_cell_length_b 4.846
_cell_length_c 9.069
_cell_angle_alpha 90.00
_cell_angle_beta 108.88
_cell_angle_gamma 90.00
loop_
_space_group_symop_operation_xyz
'x,y,z'
'x,-y,z'
'x+1/2,y+1/2,z'
'x+1/2,-y+1/2,z'
loop_
_atom_site_label
_atom_site_fract_x
_atom_site_fract_y
_atom_site_fract_z
_atom_site_occupancy
Pm1 0.000 0.000 0.000 1
Se1 0.137 0.500 0.920 1
I1 0.405 0.500 0.647 1
I2 0.408 0.000 0.224 1
```

For the formation energy from raw total energies, the calculation gives -4.31 eV/f.u. For the density of states at the Fermi level, the calculation gives 4.9 states/eV/cell.

=====

# 2
VASP calculation (PBE) on an optimized crystal structure of CaLaSe3.

CIF file:
```
data_CaLaSe3
_space_group_name_H-M_alt 'P m -3 m'
_space_group_IT_number 221
_space_group_name_Hall '-P 4 2 3'
_cell_length_a 5.686
_cell_length_b 5.686
_cell_length_c 5.686
_cell_angle_alpha 90.00
_cell_angle_beta 90.00
_cell_angle_gamma 90.00
loop_
_atom_site_label
_atom_site_fract_x
_atom_site_fract_y
_atom_site_fract_z
_atom_site_occupancy
Ca1 0.000 0.000 0.000 1
La1 0.500 0.500 0.500 1
Se1 0.000 0.500 0.500 1
```

For the formation energy from raw total energies, the calculation gives -5.42 eV/f.u. For the density of states at the Fermi level, the calculation gives 7.7 states/eV/cell. Its polymorph energy (0 for the lowest one) is 0.00 eV per formula unit.